# Pa3Cr5O12

Crystalline Pa3Cr5O12 at its relaxed geometry (PBE+U, the Alexandria database).

Cell lengths 10.9690, 10.9690, 10.9690 Å; angles 109.47, 109.47, 109.47 degrees
Each line ends with the local moment (μB).
Element x y z (fractional)
O  0.3708  0.9535  0.7859  -0.06
O  0.3324  0.5465  0.4173  -0.06
O  0.9535  0.3708  0.2859  -0.06
O  0.7859  0.4535  0.3708  -0.06
O  0.6676  0.4535  0.5827  -0.06
O  0.5827  0.6292  0.4151  -0.06
O  0.5849  0.8708  0.4173  -0.06
O  0.6292  0.0465  0.2141  -0.06
O  0.8324  0.9151  0.2859  -0.06
O  0.4535  0.6676  0.0827  -0.06
O  0.4151  0.1292  0.5827  -0.06
O  0.0465  0.6292  0.7141  -0.06
O  0.7141  0.1292  0.0465  -0.06
O  0.6676  0.2141  0.5849  -0.06
O  0.9173  0.8324  0.5465  -0.06
O  0.2859  0.8708  0.9535  -0.06
O  0.3708  0.4173  0.0849  -0.06
O  0.2859  0.4151  0.8324  -0.06
O  0.0827  0.1676  0.4535  -0.06
O  0.5849  0.7141  0.6676  -0.06
O  0.0849  0.1676  0.2141  -0.06
O  0.5465  0.3324  0.9173  -0.06
O  0.9535  0.5827  0.1676  -0.06
O  0.1676  0.0827  0.9535  -0.06
O  0.0849  0.9173  0.3708  -0.06
O  0.5465  0.2141  0.1292  -0.06
O  0.9151  0.0827  0.6292  -0.06
O  0.2141  0.6676  0.0849  -0.06
O  0.6292  0.5827  0.9151  -0.06
O  0.9151  0.8324  0.7859  -0.06
O  0.2141  0.5465  0.6292  -0.06
O  0.8708  0.5849  0.9173  -0.06
O  0.3324  0.7859  0.4151  -0.06
O  0.4173  0.3708  0.5849  -0.06
O  0.0827  0.9151  0.1292  -0.06
O  0.1676  0.0849  0.7141  -0.06
O  0.4535  0.7859  0.8708  -0.06
O  0.0465  0.4173  0.8324  -0.06
O  0.4151  0.2859  0.3324  -0.06
O  0.1292  0.7141  0.5465  -0.06
O  0.4173  0.0465  0.3324  -0.06
O  0.8324  0.9173  0.0465  -0.06
O  0.1292  0.4151  0.0827  -0.06
O  0.5827  0.9535  0.6676  -0.06
O  0.8708  0.2859  0.4535  -0.06
O  0.7141  0.5849  0.1676  -0.06
O  0.7859  0.3324  0.9151  -0.06
O  0.9173  0.0849  0.8708  -0.06
Pa  0.3750  0.7500  0.6250  0.66
Pa  0.6250  0.3750  0.7500  0.66
Pa  0.1250  0.2500  0.8750  0.66
Pa  0.7500  0.8750  0.6250  0.66
Pa  0.2500  0.6250  0.8750  0.66
Pa  0.6250  0.2500  0.3750  0.66
Pa  0.3750  0.6250  0.2500  0.66
Pa  0.8750  0.1250  0.2500  0.66
Pa  0.2500  0.1250  0.3750  0.66
Pa  0.8750  0.7500  0.1250  0.66
Pa  0.1250  0.8750  0.7500  0.66
Pa  0.7500  0.3750  0.1250  0.66
Cr  0.6250  0.8750  0.2500  3.94
Cr  0.3750  0.2500  0.1250  3.94
Cr  0.0000  0.5000  0.5000  3.28
Cr  0.2500  0.3750  0.6250  3.94
Cr  0.7500  0.1250  0.8750  3.94
Cr  0.8750  0.6250  0.7500  3.94
Cr  0.5000  0.0000  0.5000  3.28
Cr  0.8750  0.2500  0.6250  3.94
Cr  0.2500  0.8750  0.1250  3.94
Cr  0.6250  0.7500  0.8750  3.94
Cr  0.0000  0.5000  0.0000  3.28
Cr  0.3750  0.1250  0.7500  3.94
Cr  0.0000  0.0000  0.0000  3.28
Cr  0.1250  0.3750  0.2500  3.94
Cr  0.7500  0.6250  0.3750  3.94
Cr  0.5000  0.5000  0.0000  3.28
Cr  0.1250  0.7500  0.3750  3.94
Cr  0.0000  0.0000  0.5000  3.28
Cr  0.5000  0.0000  0.0000  3.28
Cr  0.5000  0.5000  0.5000  3.28

Values from the calculation:
volume: 12.70 Å³ per atom
crystal system: cubic
D(E_F): 6.21 states/eV/f.u.
energy: -695.15 eV/cell
spin magnetization: 21.04 μB per formula unit